No. 1
{"formula": "PuCuPt", "functional": "GGA-PBE", "state": "relaxed", "final_energy_ev_per_fu": -25.37, "crystal_system": "tetragonal", "e_above_lowest_polymorph_kj_per_mol_fu": 66.7, "formation_energy_kj_per_mol_atoms": -28.91, "lattice_angstrom": [[-0.416, 1.923, 2.786], [0.352, -2.767, 1.962], [4.802, 1.168, -2.177]], "species": ["Pt", "Cu", "Pu"], "frac_coords": [[0.263, 0.263, 0.527], [0.641, 0.641, 0.282], [0.945, 0.945, 0.891]]}

***

No. 2
{"formula": "PuCuPtRh", "functional": "GGA-PBE", "state": "relaxed", "final_energy_ev_per_fu": -33.28, "crystal_system": "cubic", "formation_energy_kj_per_mol_atoms": -35.24, "lattice_angstrom": [[-3.246, 2.054, -2.531], [0.146, -0.274, -4.590], [-3.108, -2.536, -2.253]], "species": ["Rh", "Cu", "Pt", "Pu"], "frac_coords": [[0.000, 0.000, 0.000], [0.250, 0.250, 0.250], [0.500, 0.500, 0.500], [0.750, 0.750, 0.750]]}

***

No. 3
{"formula": "Pu4CuPt2Rh", "functional": "GGA-PBE", "state": "relaxed", "final_energy_ev_per_fu": -84.06, "crystal_system": "trigonal", "formation_energy_kj_per_mol_atoms": -38.58, "lattice_angstrom": [[4.779, 0.000, 0.000], [2.390, 4.139, 0.000], [2.390, 1.380, 8.985]], "species": ["Pu", "Pu", "Pu", "Pu", "Cu", "Pt", "Pt", "Rh"], "frac_coords": [[0.289, 0.289, 0.134], [0.875, 0.875, 0.374], [0.125, 0.125, 0.626], [0.711, 0.711, 0.866], [0.000, 0.000, 0.000], [0.600, 0.600, 0.200], [0.400, 0.400, 0.800], [0.500, 0.500, 0.500]]}

***

No. 4
{"formula": "Pu4CuRu2Pt", "functional": "GGA-PBE", "state": "relaxed", "final_energy_ev_per_fu": -87.72, "crystal_system": "trigonal", "formation_energy_kj_per_mol_atoms": -20.57, "lattice_angstrom": [[-0.282, 0.112, -4.837], [-0.991, -4.054, -2.464], [-8.193, 0.287, -1.944]], "species": ["Pu", "Pu", "Pu", "Pu", "Cu", "Ru", "Ru", "Pt"], "frac_coords": [[0.375, 0.375, 0.876], [0.876, 0.876, 0.373], [0.124, 0.124, 0.627], [0.625, 0.625, 0.124], [0.000, 0.000, 0.000], [0.748, 0.748, 0.755], [0.252, 0.252, 0.245], [0.500, 0.500, 0.500]]}

***

No. 5
{"formula": "PuCuRuPt", "functional": "GGA-PBE", "state": "relaxed", "final_energy_ev_per_fu": -34.59, "crystal_system": "cubic", "formation_energy_kj_per_mol_atoms": -20.35, "lattice_angstrom": [[4.565, 0.000, 0.000], [2.282, 3.953, 0.000], [2.282, 1.318, 3.727]], "species": ["Ru", "Cu", "Pt", "Pu"], "frac_coords": [[0.750, 0.750, 0.750], [0.000, 0.000, 0.000], [0.250, 0.250, 0.250], [0.500, 0.500, 0.500]]}

***

No. 6
{"formula": "PuScCuPt", "functional": "GGA-PBE", "state": "relaxed", "final_energy_ev_per_fu": -32.75, "crystal_system": "cubic", "formation_energy_kj_per_mol_atoms": -47.08, "lattice_angstrom": [[-0.725, -4.708, 0.678], [3.504, -3.142, -0.999], [2.265, -2.293, 3.572]], "species": ["Sc", "Cu", "Pt", "Pu"], "frac_coords": [[0.500, 0.500, 0.500], [0.750, 0.750, 0.750], [0.250, 0.250, 0.250], [0.000, 0.000, 0.000]]}

***

No. 7
{"formula": "Pu2CuSi4Pt3", "functional": "GGA-PBE", "state": "relaxed", "final_energy_ev_per_fu": -80.45, "crystal_system": "tetragonal", "formation_energy_uncorrected_mev_per_atom": -787, "lattice_angstrom": [[-0.419, 4.019, 1.137], [-4.159, -0.296, -0.483], [-0.901, -2.767, 9.446]], "species": ["Pu", "Pu", "Cu", "Si", "Si", "Si", "Si", "Pt", "Pt", "Pt"], "frac_coords": [[0.500, 0.000, 0.252], [0.000, 0.500, 0.748], [0.500, 0.500, 0.500], [0.500, 0.500, 0.000], [0.000, 0.000, 0.000], [0.500, 0.000, 0.632], [0.000, 0.500, 0.368], [0.000, 0.000, 0.500], [0.500, 0.000, 0.877], [0.000, 0.500, 0.123]]}

***

No. 8
{"formula": "SmPuCuPt", "functional": "GGA-PBE", "state": "relaxed", "final_energy_ev_per_fu": -31.09, "crystal_system": "cubic", "formation_energy_kj_per_mol_atoms": -45.77, "lattice_angstrom": [[-4.129, -1.131, -2.568], [0.225, -0.599, -4.951], [-0.534, -4.547, -1.991]], "species": ["Cu", "Sm", "Pt", "Pu"], "frac_coords": [[0.750, 0.750, 0.750], [0.500, 0.500, 0.500], [0.250, 0.250, 0.250], [0.000, 0.000, 0.000]]}

***

No. 9
{"formula": "PuCuSnPt", "functional": "GGA-PBE", "state": "relaxed", "final_energy_ev_per_fu": -29.21, "crystal_system": "cubic", "formation_energy_kj_per_mol_atoms": -17.91, "lattice_angstrom": [[-0.245, 3.948, 2.733], [0.414, -0.354, 4.777], [3.945, 1.649, 2.200]], "species": ["Cu", "Sn", "Pt", "Pu"], "frac_coords": [[0.250, 0.250, 0.250], [0.750, 0.750, 0.750], [0.000, 0.000, 0.000], [0.500, 0.500, 0.500]]}

***

No. 10
{"formula": "SrPuCu2Pt2", "functional": "GGA-PBE", "state": "relaxed", "final_energy_ev_per_fu": -39.31, "crystal_system": "trigonal", "formation_energy_kj_per_mol_atoms": -48.58, "lattice_angstrom": [[-2.283, 3.341, -1.753], [-1.980, -3.868, 0.753], [-1.921, 2.336, 6.952]], "species": ["Sr", "Pu", "Cu", "Cu", "Pt", "Pt"], "frac_coords": [[0.000, 0.000, 0.000], [0.000, 0.000, 0.500], [0.667, 0.333, 0.282], [0.333, 0.667, 0.718], [0.667, 0.333, 0.703], [0.333, 0.667, 0.297]]}

***

No. 11
{"formula": "PuUCuPt", "functional": "GGA-PBE", "state": "relaxed", "final_energy_ev_per_fu": -37.30, "crystal_system": "cubic", "formation_energy_kj_per_mol_atoms": -37.21, "lattice_angstrom": [[4.705, 0.000, 0.000], [2.352, 4.074, 0.000], [2.352, 1.358, 3.841]], "species": ["U", "Cu", "Pt", "Pu"], "frac_coords": [[0.250, 0.250, 0.250], [0.750, 0.750, 0.750], [0.000, 0.000, 0.000], [0.500, 0.500, 0.500]]}

***

No. 12
{"formula": "YPuCuPt", "functional": "GGA-PBE", "state": "relaxed", "final_energy_ev_per_fu": -32.95, "crystal_system": "cubic", "formation_energy_kj_per_mol_atoms": -48.73, "lattice_angstrom": [[4.950, 0.000, 0.000], [2.475, 4.287, 0.000], [2.475, 1.429, 4.042]], "species": ["Y", "Cu", "Pt", "Pu"], "frac_coords": [[0.000, 0.000, 0.000], [0.750, 0.750, 0.750], [0.250, 0.250, 0.250], [0.500, 0.500, 0.500]]}

***

No. 13
{"formula": "PuZrCuPt", "functional": "GGA-PBE", "state": "relaxed", "final_energy_ev_per_fu": -34.40, "crystal_system": "cubic", "formation_energy_kj_per_mol_atoms": -33.47, "lattice_angstrom": [[-1.666, -1.241, -4.358], [3.018, -1.779, -3.322], [-0.259, -4.656, -1.250]], "species": ["Cu", "Zr", "Pt", "Pu"], "frac_coords": [[0.750, 0.750, 0.750], [0.000, 0.000, 0.000], [0.250, 0.250, 0.250], [0.500, 0.500, 0.500]]}

***

No. 14
{"formula": "RbCu2Pt2", "functional": "GGA-PBE", "state": "relaxed", "final_energy_ev_per_fu": -20.26, "crystal_system": "tetragonal", "e_above_lowest_polymorph_kj_per_mol_fu": 27.6, "formation_energy_kj_per_mol_atoms": 19.00, "lattice_angstrom": [[-3.431, 1.413, -2.467], [2.370, -0.713, -3.705], [-2.332, -4.429, -3.318]], "species": ["Cu", "Cu", "Rb", "Pt", "Pt"], "frac_coords": [[0.750, 0.250, 0.500], [0.250, 0.750, 0.500], [0.000, 0.000, 0.000], [0.373, 0.373, 0.254], [0.627, 0.627, 0.746]]}

***

No. 15
{"formula": "RbCu2Pt", "functional": "GGA-PBE", "state": "relaxed", "final_energy_ev_per_fu": -14.12, "crystal_system": "tetragonal", "e_above_lowest_polymorph_kj_per_mol_fu": 0.0, "formation_energy_kj_per_mol_atoms": 26.12, "lattice_angstrom": [[-0.056, 2.192, 4.503], [-4.404, -2.165, 0.999], [1.806, -6.672, 6.056]], "species": ["Cu", "Cu", "Cu", "Cu", "Rb", "Rb", "Pt", "Pt"], "frac_coords": [[0.875, 0.125, 0.250], [0.875, 0.625, 0.250], [0.375, 0.125, 0.750], [0.875, 0.125, 0.750], [0.500, 0.500, 0.000], [0.250, 0.750, 0.500], [0.000, 0.000, 0.000], [0.750, 0.250, 0.500]]}

***

No. 16
{"formula": "Rb2CuPt", "functional": "GGA-PBE", "state": "relaxed", "final_energy_ev_per_fu": -9.79, "crystal_system": "cubic", "formation_energy_kj_per_mol_atoms": 55.07, "lattice_angstrom": [[0.000, 4.015, 4.015], [4.015, 0.000, 4.015], [4.015, 4.015, 0.000]], "species": ["Cu", "Rb", "Rb", "Pt"], "frac_coords": [[0.000, 0.000, 0.000], [0.250, 0.250, 0.250], [0.750, 0.750, 0.750], [0.500, 0.500, 0.500]]}

***

No. 17
{"formula": "RbCu2Pt2", "functional": "GGA-PBE", "state": "relaxed", "final_energy_ev_per_fu": -20.54, "crystal_system": "tetragonal", "e_above_lowest_polymorph_kj_per_mol_fu": 0.0, "formation_energy_kj_per_mol_atoms": 13.47, "lattice_angstrom": [[8.007, 0.000, 0.000], [0.000, 8.007, 0.000], [0.000, 0.000, 2.770]], "species": ["Cu", "Cu", "Cu", "Cu", "Rb", "Rb", "Pt", "Pt", "Pt", "Pt"], "frac_coords": [[0.341, 0.841, 0.000], [0.841, 0.659, 0.000], [0.659, 0.159, 0.000], [0.159, 0.341, 0.000], [0.000, 0.000, 0.000], [0.500, 0.500, 0.000], [0.132, 0.632, 0.500], [0.632, 0.868, 0.500], [0.868, 0.368, 0.500], [0.368, 0.132, 0.500]]}

***

No. 18
{"formula": "Rb2Cu2Pt", "functional": "GGA-PBE", "state": "relaxed", "final_energy_ev_per_fu": -12.32, "crystal_system": "tetragonal", "e_above_lowest_polymorph_kj_per_mol_fu": 188.3, "formation_energy_kj_per_mol_atoms": 74.34, "lattice_angstrom": [[9.885, 0.000, 0.000], [0.000, 9.885, 0.000], [0.000, 0.000, 2.901]], "species": ["Cu", "Cu", "Cu", "Cu", "Rb", "Rb", "Rb", "Rb", "Pt", "Pt"], "frac_coords": [[0.084, 0.584, 0.500], [0.584, 0.916, 0.500], [0.916, 0.416, 0.500], [0.416, 0.084, 0.500], [0.296, 0.796, 0.000], [0.796, 0.704, 0.000], [0.704, 0.204, 0.000], [0.204, 0.296, 0.000], [0.000, 0.000, 0.000], [0.500, 0.500, 0.000]]}

***

No. 19
{"formula": "RbCuPt2", "functional": "GGA-PBE", "state": "relaxed", "final_energy_ev_per_fu": -16.19, "crystal_system": "tetragonal", "e_above_lowest_polymorph_kj_per_mol_fu": 0.0, "formation_energy_kj_per_mol_atoms": 23.04, "lattice_angstrom": [[-4.484, -2.157, -0.512], [2.029, -4.458, 1.014], [-2.766, -2.099, 8.640]], "species": ["Cu", "Cu", "Rb", "Rb", "Pt", "Pt", "Pt", "Pt"], "frac_coords": [[0.500, 0.500, 0.000], [0.250, 0.750, 0.500], [0.000, 0.000, 0.000], [0.750, 0.250, 0.500], [0.322, 0.125, 0.250], [0.428, 0.625, 0.250], [0.375, 0.678, 0.750], [0.875, 0.572, 0.750]]}

***

No. 20
{"formula": "RbCuPt2", "functional": "GGA-PBE", "state": "relaxed", "final_energy_ev_per_fu": -13.93, "crystal_system": "cubic", "e_above_lowest_polymorph_kj_per_mol_fu": 217.8, "formation_energy_kj_per_mol_atoms": 77.50, "lattice_angstrom": [[0.000, 3.371, 3.371], [3.371, 0.000, 3.371], [3.371, 3.371, 0.000]], "species": ["Cu", "Rb", "Pt", "Pt"], "frac_coords": [[0.000, 0.000, 0.000], [0.500, 0.500, 0.500], [0.250, 0.250, 0.250], [0.750, 0.750, 0.750]]}

***

No. 21
{"formula": "RbCu2Pt", "functional": "GGA-PBE", "state": "relaxed", "final_energy_ev_per_fu": -12.58, "crystal_system": "cubic", "e_above_lowest_polymorph_kj_per_mol_fu": 148.5, "formation_energy_kj_per_mol_atoms": 63.25, "lattice_angstrom": [[0.000, 3.364, 3.364], [3.364, 0.000, 3.364], [3.364, 3.364, 0.000]], "species": ["Cu", "Cu", "Rb", "Pt"], "frac_coords": [[0.250, 0.250, 0.250], [0.750, 0.750, 0.750], [0.000, 0.000, 0.000], [0.500, 0.500, 0.500]]}

***

No. 22
{"formula": "RbCu2Pt2", "functional": "GGA-PBE", "state": "relaxed", "final_energy_ev_per_fu": -20.10, "crystal_system": "tetragonal", "e_above_lowest_polymorph_kj_per_mol_fu": 42.8, "formation_energy_kj_per_mol_atoms": 22.04, "lattice_angstrom": [[4.183, 0.000, 0.000], [0.000, 4.183, 0.000], [2.091, 2.091, 5.646]], "species": ["Cu", "Cu", "Rb", "Pt", "Pt"], "frac_coords": [[0.380, 0.380, 0.239], [0.620, 0.620, 0.761], [0.000, 0.000, 0.000], [0.750, 0.250, 0.500], [0.250, 0.750, 0.500]]}

***

No. 23
{"formula": "Rb2Cu2Pt", "functional": "GGA-PBE", "state": "relaxed", "final_energy_ev_per_fu": -14.27, "crystal_system": "tetragonal", "e_above_lowest_polymorph_kj_per_mol_fu": 0.0, "formation_energy_kj_per_mol_atoms": 36.69, "lattice_angstrom": [[3.445, 0.000, 0.000], [0.000, 3.445, 0.000], [1.722, 1.722, 10.835]], "species": ["Cu", "Cu", "Rb", "Rb", "Pt"], "frac_coords": [[0.750, 0.250, 0.500], [0.250, 0.750, 0.500], [0.395, 0.395, 0.210], [0.605, 0.605, 0.790], [0.000, 0.000, 0.000]]}

***

No. 24
{"formula": "RbCuRePt2", "functional": "GGA-PBE", "state": "relaxed", "final_energy_ev_per_fu": -15.63, "crystal_system": "tetragonal", "formation_energy_kj_per_mol_atoms": 269.54, "lattice_angstrom": [[-4.634, 1.807, -1.290], [-1.861, -2.214, 3.584], [0.786, 4.128, 2.959]], "species": ["Re", "Cu", "Rb", "Pt", "Pt"], "frac_coords": [[0.500, 0.500, 0.500], [0.000, 0.500, 0.000], [0.000, 0.000, 0.000], [0.000, 0.000, 0.500], [0.500, 0.000, 0.000]]}

***

No. 25
{"formula": "RbCuPtS2", "functional": "GGA-PBE", "state": "relaxed", "final_energy_ev_per_fu": -22.09, "crystal_system": "orthorhombic", "formation_energy_uncorrected_mev_per_atom": -546, "lattice_angstrom": [[-0.088, 3.981, -0.950], [-6.849, -0.517, -1.529], [-1.697, 1.645, 7.045]], "species": ["Rb", "Rb", "Cu", "Cu", "Pt", "Pt", "S", "S", "S", "S"], "frac_coords": [[0.000, 0.500, 0.750], [0.000, 0.500, 0.250], [0.000, 0.000, 0.000], [0.000, 0.000, 0.500], [0.500, 0.000, 0.250], [0.500, 0.000, 0.750], [0.501, 0.785, 0.000], [0.501, 0.215, 0.500], [0.499, 0.785, 0.500], [0.499, 0.215, 0.000]]}

***

No. 26
{"formula": "Rb2CuPtS4", "functional": "GGA-PBE", "state": "relaxed", "final_energy_ev_per_fu": -32.56, "crystal_system": "orthorhombic", "formation_energy_uncorrected_mev_per_atom": -497, "lattice_angstrom": [[-1.132, 6.149, 0.779], [-6.722, 2.133, -1.123], [-2.962, 1.255, 11.269]], "species": ["Rb", "Rb", "Rb", "Rb", "Cu", "Cu", "Pt", "Pt", "S", "S", "S", "S", "S", "S", "S", "S"], "frac_coords": [[0.180, 0.000, 0.639], [0.820, 0.000, 0.361], [0.570, 0.500, 0.861], [0.930, 0.500, 0.139], [0.250, 0.500, 0.500], [0.500, 0.000, 0.000], [0.750, 0.500, 0.500], [0.000, 0.000, 0.000], [0.287, 0.822, 0.106], [0.215, 0.178, 0.894], [0.891, 0.822, 0.894], [0.607, 0.178, 0.106], [0.463, 0.678, 0.394], [0.535, 0.322, 0.606], [0.859, 0.678, 0.606], [0.143, 0.322, 0.394]]}

***

No. 27
{"formula": "RbTlCuPt2", "functional": "GGA-PBE", "state": "relaxed", "final_energy_ev_per_fu": -11.05, "crystal_system": "tetragonal", "formation_energy_kj_per_mol_atoms": 163.30, "lattice_angstrom": [[5.298, 0.000, 0.000], [0.000, 5.235, 0.000], [0.000, 0.000, 5.298]], "species": ["Tl", "Cu", "Rb", "Pt", "Pt"], "frac_coords": [[0.500, 0.500, 0.500], [0.000, 0.500, 0.000], [0.000, 0.000, 0.000], [0.000, 0.000, 0.500], [0.500, 0.000, 0.000]]}